Entry 1:
Here is a relaxed ThPbSe crystal from Alexandria via LeMat-Bulk. Energies are from PBE.

V	27.73	A^3/atom
ρ	10.34	g cm⁻³
DOS(E_F)	0.3198	states/eV/atom
raw formation energy	-1.046	eV per atom

Lattice parameters (Å, degrees): 9.525 9.525 9.525 153.95 153.95 37.17
Sites, in units of the cell vectors:
1 Th 0.147 0.147 0.000
2 Th 0.853 0.853 0.000
3 Pb 0.000 0.500 0.500
4 Pb 0.500 0.000 0.500
5 Se 0.314 0.314 0.000
6 Se 0.686 0.686 0.000


Entry 2:
Here is a relaxed Th2PbSe crystal from Alexandria via LeMat-Bulk. Energies are from PBE.

excess energy over the best structure of this formula in the dataset	6.1	kJ per mole of atoms
V	30.53	A^3/atom
ρ	10.20	g cm⁻³
DOS(E_F)	0.1461	states/eV/atom
raw formation energy	-0.827	eV per atom

Lattice parameters (Å, degrees): 7.840 7.840 7.840 32.27 32.27 32.27
Sites, in units of the cell vectors:
1 Th 0.000 0.000 0.000
2 Th 0.186 0.186 0.186
3 Pb 0.760 0.760 0.760
4 Se 0.591 0.591 0.591


Q: Look up the DOS(E_F) of the second one.
A: 0.1461 states/eV/atom


Q: Among the records above, which one has the lowest V?
A: ThPbSe


Q: Number 2 is which compound?
A: Th2PbSe


Q: Number 2 is which compound?
A: Th2PbSe